The following is a DFT calculation (GGA-PBE) of a relaxed GaSn2N crystal.

a b c (Å): 3.1227 3.4215 15.9711
angles (deg): 90.00 90.00 90.00
Space group Imm2 (No. 44)
Symmetry-distinct sites (fractional):
Ga 0.0000 0.0000 0.0000 [2 per cell]
Sn 0.0000 0.0000 0.3370 [2 per cell]
Sn 0.0000 0.5000 0.1429 [2 per cell]
N 0.0000 0.5000 0.4273 [2 per cell]

Properties
Total magnetic moment (μB per formula unit): 0.000
Polymorph energy (0 for the lowest one) (meV/atom): 89.1